[1]
Compound: Dy2Ho3In
Source: Alexandria via LeMat-Bulk
Functional: GGA-PBE
Structure: relaxed

For the final energy, the calculation gives -48.700 eV for the cell shown. For the relative energy among the computed polymorphs, the calculation gives 2.29 eV/f.u. The crystal system is orthorhombic. The value obtained for the formation energy from the elements is 0.221 eV/atom.

The space group is Imm2 (No. 44) and the conventional cell measures 6.398, 10.112 and 5.714 Å, with angles of 90.00, 90.00 and 90.00 degrees. The distinct sites, in fractional coordinates, are Dy at (0.000, 0.183, 0.000), Ho at (0.000, 0.000, 0.500), Ho at (0.000, 0.344, 0.500) and In at (0.000, 0.500, 0.001).


[2]
Compound: Dy6HoIn2
Source: Alexandria via LeMat-Bulk
Functional: GGA-PBE
Structure: relaxed

For the final energy, the calculation gives -79.004 eV for the cell shown. For the relative energy among the computed polymorphs, the calculation gives 0.00 eV/f.u. The crystal system is monoclinic. The value obtained for the formation energy from the elements is -0.204 eV/atom.

The space group is C2/m (No. 12) and the conventional cell measures 12.707, 3.732 and 11.882 Å, with angles of 90.00, 108.04 and 90.00 degrees. The distinct sites, in fractional coordinates, are Dy at (0.016, 0.000, 0.342), Dy at (0.183, 0.500, 0.877), Dy at (0.190, 0.500, 0.586), Ho at (0.000, 0.000, 0.000) and In at (0.143, 0.500, 0.205).


[3]
Compound: Dy5Ho2In4
Source: Alexandria via LeMat-Bulk
Functional: GGA-PBE
Structure: relaxed

For the final energy, the calculation gives -79.399 eV for the cell shown. For the relative energy among the computed polymorphs, the calculation gives 6.11 eV/f.u. The crystal system is orthorhombic. The value obtained for the formation energy from the elements is 0.311 eV/atom.

The space group is Immm (No. 71) and the conventional cell measures 3.445, 8.520 and 28.648 Å, with angles of 90.00, 90.00 and 90.00 degrees. The distinct sites, in fractional coordinates, are Dy at (0.000, 0.000, 0.000), Dy at (0.000, 0.304, 0.298), Ho at (0.000, 0.500, 0.404), In at (0.000, 0.179, 0.500) and In at (0.000, 0.500, 0.197).


[4]
Compound: DyHoIn2
Source: Alexandria via LeMat-Bulk
Functional: GGA-PBE
Structure: relaxed

For the final energy, the calculation gives -33.011 eV for the cell shown. For the relative energy among the computed polymorphs, the calculation gives 0.00 eV/f.u. The crystal system is orthorhombic. The value obtained for the formation energy from the elements is -0.462 eV/atom.

The space group is Cmmm (No. 65) and the conventional cell measures 6.942, 8.624 and 3.508 Å, with angles of 90.00, 90.00 and 90.00 degrees. The distinct sites, in fractional coordinates, are Dy at (0.000, 0.000, 0.000), Ho at (0.000, 0.500, 0.000) and In at (0.250, 0.250, 0.500).


[5]
Compound: Dy2Ho5In4
Source: Alexandria via LeMat-Bulk
Functional: GGA-PBE
Structure: relaxed

For the final energy, the calculation gives -45.648 eV for the cell shown. For the relative energy among the computed polymorphs, the calculation gives 0.00 eV/f.u. The crystal system is monoclinic. The value obtained for the formation energy from the elements is -0.236 eV/atom.

The space group is P2/m (No. 10) and the conventional cell measures 8.572, 3.418 and 10.482 Å, with angles of 90.00, 96.19 and 90.00 degrees. The distinct sites, in fractional coordinates, are Dy at (0.084, 0.000, 0.139), Ho at (0.164, 0.000, 0.645), Ho at (0.464, 0.000, 0.168), Ho at (0.500, 0.000, 0.500), In at (0.199, 0.500, 0.384) and In at (0.248, 0.500, 0.924).


[6]
Compound: Dy4Ho15In
Source: Alexandria via LeMat-Bulk
Functional: GGA-PBE
Structure: relaxed

For the final energy, the calculation gives -90.472 eV for the cell shown. The crystal system is tetragonal. The value obtained for the formation energy from the elements is -0.033 eV/atom.

The space group is P4/mmm (No. 123) and the conventional cell measures 4.940, 4.940 and 24.985 Å, with angles of 90.00, 90.00 and 90.00 degrees. The distinct sites, in fractional coordinates, are Dy at (0.000, 0.000, 0.101), Dy at (0.000, 0.000, 0.302), Ho at (0.000, 0.500, 0.000), Ho at (0.000, 0.500, 0.202), Ho at (0.000, 0.500, 0.403), Ho at (0.500, 0.500, 0.101), Ho at (0.500, 0.500, 0.304), Ho at (0.500, 0.500, 0.500) and In at (0.000, 0.000, 0.500).


[7]
Compound: DyHo4In4
Source: Alexandria via LeMat-Bulk
Functional: GGA-PBE
Structure: relaxed

For the final energy, the calculation gives -69.922 eV for the cell shown. The crystal system is tetragonal. The value obtained for the formation energy from the elements is -0.122 eV/atom.

The space group is P4_2/nmc (No. 137, origin choice 2) and the conventional cell measures 7.161, 7.161 and 10.574 Å, with angles of 90.00, 90.00 and 90.00 degrees. The distinct sites, in fractional coordinates, are Dy at (0.250, 0.750, 0.250), Ho at (0.022, 0.250, 0.167) and In at (0.029, 0.250, 0.466).


[8]
Compound: Dy6HoIn2
Source: Alexandria via LeMat-Bulk
Functional: GGA-PBE
Structure: relaxed

For the final energy, the calculation gives -69.421 eV for the cell shown. For the relative energy among the computed polymorphs, the calculation gives 4.79 eV/f.u. The crystal system is tetragonal. The value obtained for the formation energy from the elements is 0.329 eV/atom.

The space group is I-42m (No. 121) and the conventional cell measures 6.254, 6.254 and 15.193 Å, with angles of 90.00, 90.00 and 90.00 degrees. The distinct sites, in fractional coordinates, are Dy at (0.000, 0.500, 0.250), Dy at (0.178, 0.178, 0.087), Ho at (0.000, 0.000, 0.500) and In at (0.000, 0.000, 0.288).